Record 1
# TbZn5Cu7, relaxed, DFT GGA-PBE
data_TbZn5Cu7
_chemical_formula_sum 'Tb2 Zn10 Cu14'
_cell_length_a 4.964
_cell_length_b 8.678
_cell_length_c 8.641
_cell_angle_alpha 90.00
_cell_angle_beta 90.00
_cell_angle_gamma 90.00
_symmetry_space_group_name_H-M 'I m m 2'
_symmetry_Int_Tables_number 44
loop_
_symmetry_equiv_pos_as_xyz
'x,y,z'
'-x,-y,z'
'-x,y,z'
'x,-y,z'
'x+1/2,y+1/2,z+1/2'
'-x+1/2,-y+1/2,z+1/2'
'-x+1/2,y+1/2,z+1/2'
'x+1/2,-y+1/2,z+1/2'
loop_
_atom_site_label
_atom_site_type_symbol
_atom_site_fract_x
_atom_site_fract_y
_atom_site_fract_z
Tb1 Tb 0.000 0.000 0.000
Zn1 Zn 0.000 0.500 0.725
Zn2 Zn 0.249 0.253 0.257
Cu1 Cu 0.000 0.000 0.358
Cu2 Cu 0.000 0.000 0.648
Cu3 Cu 0.000 0.280 0.507
Cu4 Cu 0.000 0.354 0.008
Cu5 Cu 0.000 0.500 0.287
# * calculated total energy: -3.1814 eV/atom
# * calculated formation energy: -1.7 eV/f.u.

Record 2
# Tb4Zn3Cu, relaxed, DFT GGA-PBE
data_Tb4Zn3Cu
_chemical_formula_sum 'Tb4 Zn3 Cu1'
_cell_length_a 3.618
_cell_length_b 4.493
_cell_length_c 11.340
_cell_angle_alpha 90.00
_cell_angle_beta 90.00
_cell_angle_gamma 90.00
_symmetry_space_group_name_H-M 'P m m 2'
_symmetry_Int_Tables_number 25
loop_
_symmetry_equiv_pos_as_xyz
'x,y,z'
'-x,-y,z'
'-x,y,z'
'x,-y,z'
loop_
_atom_site_label
_atom_site_type_symbol
_atom_site_fract_x
_atom_site_fract_y
_atom_site_fract_z
Tb1 Tb 0.000 0.000 0.000
Tb2 Tb 0.000 0.500 0.291
Tb3 Tb 0.500 0.000 0.489
Tb4 Tb 0.500 0.500 0.798
Zn1 Zn 0.000 0.000 0.713
Zn2 Zn 0.000 0.500 0.574
Zn3 Zn 0.500 0.500 0.076
Cu1 Cu 0.500 0.000 0.214
# * calculated total energy: -3.5716 eV/atom
# * polymorph energy (0 for the lowest one): 45 meV per atom
# * calculated formation energy: -2.1 eV/f.u.

Record 3
# Tb2ZnCu3, relaxed, DFT GGA-PBE
data_Tb2ZnCu3
_chemical_formula_sum 'Tb4 Zn2 Cu6'
_cell_length_a 9.946
_cell_length_b 4.347
_cell_length_c 6.863
_cell_angle_alpha 90.00
_cell_angle_beta 131.48
_cell_angle_gamma 90.00
_symmetry_space_group_name_H-M 'C 1 m 1'
_symmetry_Int_Tables_number 8
loop_
_symmetry_equiv_pos_as_xyz
'x,y,z'
'x,-y,z'
'x+1/2,y+1/2,z'
'x+1/2,-y+1/2,z'
loop_
_atom_site_label
_atom_site_type_symbol
_atom_site_fract_x
_atom_site_fract_y
_atom_site_fract_z
Tb1 Tb 0.000 0.000 0.000
Tb2 Tb 0.089 0.000 0.591
Zn1 Zn 0.377 0.000 0.186
Cu1 Cu 0.207 0.500 0.007
Cu2 Cu 0.212 0.500 0.410
Cu3 Cu 0.382 0.000 0.586
# * calculated total energy: -4.0965 eV/atom
# * polymorph energy (0 for the lowest one): 0 meV per atom
# * calculated formation energy: -1.8 eV/f.u.

> Among the records above, which one has the lowest calculated formation energy?

Tb4Zn3Cu